(1)
Compound: Tb3Er5Th3
Source: the Alexandria database
Functional: PBE
Structure: optimized geometry

abc: 5.378 9.622 9.622
angles: 120.00 90.00 90.00
Positions (direct):
Tb 0.000 0.425 0.000
Th 0.500 0.000 0.257
Th 0.500 0.257 0.000
Er 0.500 0.667 0.333
Er 0.500 0.000 0.630
Tb 0.000 0.000 0.425
Th 0.500 0.743 0.743
Tb 0.000 0.575 0.575
Er 0.500 0.370 0.370
Er 0.500 0.630 0.000
Er 0.500 0.333 0.667

- volume (Å³ per cell) = 431
- density of states at the Fermi level (states/eV/f.u.) = 17.6
- magnetic moment (Bohr magnetons per cell) = 0.0
- ΔH_f (0 K) (meV per atom) = 881
- crystal system = hexagonal

---

(2)
Compound: Tb2Er2TmTh2
Source: the Alexandria database
Functional: PBE
Structure: optimized geometry

abc: 3.558 19.735 15.038
angles: 166.90 90.00 95.17
Positions (direct):
Tm 0.000 0.000 0.500
Er 0.570 0.139 0.066
Th 0.855 0.710 0.351
Th 0.145 0.290 0.649
Tb 0.291 0.582 0.800
Tb 0.709 0.418 0.200
Er 0.430 0.861 0.934

- volume (Å³ per cell) = 220
- density of states at the Fermi level (states/eV/f.u.) = 9.3
- magnetic moment (Bohr magnetons per cell) = 0.0
- ΔH_f (0 K) (meV per atom) = 24
- crystal system = monoclinic

---

(3)
Compound: TbErTm2Th
Source: the Alexandria database
Functional: PBE
Structure: optimized geometry

abc: 6.025 8.205 6.901
angles: 97.90 90.00 90.00
Positions (direct):
Tm 0.586 0.667 0.921
Tm 0.586 0.333 0.579
Er 0.912 0.500 0.250
Tb 0.000 0.000 0.000
Th 0.469 0.000 0.750
Tm 0.414 0.667 0.421
Tb 0.000 0.000 0.500
Tm 0.414 0.333 0.079
Th 0.531 0.000 0.250
Er 0.088 0.500 0.750

- volume (Å³ per cell) = 338
- density of states at the Fermi level (states/eV/f.u.) = 8.7
- magnetic moment (Bohr magnetons per cell) = 0.0
- ΔH_f (0 K) (meV per atom) = 375
- crystal system = monoclinic

---

(4)
Compound: Tb3ErTmTh
Source: the Alexandria database
Functional: PBE
Structure: optimized geometry

abc: 3.556 10.617 10.609
angles: 109.30 90.00 90.00
Positions (direct):
Tb 0.750 0.371 0.542
Tb 0.750 0.873 0.043
Er 0.750 0.878 0.707
Tb 0.750 0.376 0.209
Tb 0.250 0.127 0.957
Tm 0.250 0.626 0.125
Th 0.250 0.124 0.624
Tm 0.750 0.374 0.875
Er 0.250 0.122 0.293
Tb 0.250 0.624 0.791
Tb 0.250 0.629 0.458
Th 0.750 0.876 0.376

- volume (Å³ per cell) = 378
- density of states at the Fermi level (states/eV/f.u.) = 8.4
- magnetic moment (Bohr magnetons per cell) = 0.0
- ΔH_f (0 K) (meV per atom) = 23
- crystal system = monoclinic